[1]
An optimized crystal structure of K2RbCdAg, computed with PBE.

The density of states at the Fermi level is 0.8445 states/eV per atom. The total energy comes out at -1.283 eV/atom. For the energy relative to the elements, the calculation gives 0.51 eV per formula unit.

The space group is P4/mmm (No. 123) and the conventional cell measures 6.7143, 6.7143 and 5.5366 Å, with angles of 90.00, 90.00 and 90.00 degrees. The inequivalent atoms are K at (0.0000, 0.5000, 0.0000), Rb at (0.0000, 0.0000, 0.5000), Cd at (0.5000, 0.5000, 0.0000) and Ag at (0.5000, 0.5000, 0.5000).


[2]
An optimized crystal structure of KRbCdAg, computed with PBE.

The density of states at the Fermi level is 0.4977 states/eV per atom. The total energy comes out at -1.492 eV/atom. For the energy relative to the elements, the calculation gives -0.14 eV per formula unit.

The space group is Cm (No. 8) and the conventional cell measures 8.6153, 4.9803 and 9.0120 Å, with angles of 90.00, 108.78 and 90.00 degrees. The inequivalent atoms are K at (0.0000, 0.0000, 0.0000), Rb at (0.1815, 0.0000, 0.5395), Cd at (0.4191, 0.0000, 0.2550) and Ag at (0.2527, 0.5000, 0.2553).


[3]
An optimized crystal structure of KRb2Cd2Ag2, computed with PBE.

The density of states at the Fermi level is 0.3346 states/eV per atom. The total energy comes out at -1.485 eV/atom. For the energy relative to the elements, the calculation gives 0.17 eV per formula unit.

The space group is C2/m (No. 12) and the conventional cell measures 12.3065, 5.1160 and 9.8616 Å, with angles of 90.00, 111.68 and 90.00 degrees. The inequivalent atoms are K at (0.0000, 0.0000, 0.0000), Rb at (0.1025, 0.5000, 0.3676), Cd at (0.2417, 0.5000, 0.0852) and Ag at (0.2175, 0.5000, 0.7742).


[4]
An optimized crystal structure of K2RbCdAg, computed with PBE.

The density of states at the Fermi level is 0.6122 states/eV per atom. The total energy comes out at -1.346 eV/atom. For the energy relative to the elements, the calculation gives 0.20 eV per formula unit.

The space group is P4/mmm (No. 123) and the conventional cell measures 6.5340, 6.5340 and 5.6301 Å, with angles of 90.00, 90.00 and 90.00 degrees. The inequivalent atoms are K at (0.0000, 0.5000, 0.0000), Rb at (0.0000, 0.0000, 0.5000), Cd at (0.5000, 0.5000, 0.5000) and Ag at (0.5000, 0.5000, 0.0000).


[5]
An optimized crystal structure of K2RbCdAg, computed with PBE.

The density of states at the Fermi level is 1.1245 states/eV per atom. The total energy comes out at -1.237 eV/atom. For the energy relative to the elements, the calculation gives 0.75 eV per formula unit.

The space group is P4/mmm (No. 123) and the conventional cell measures 6.4805, 6.4805 and 6.7444 Å, with angles of 90.00, 90.00 and 90.00 degrees. The inequivalent atoms are K at (0.0000, 0.5000, 0.0000), Rb at (0.0000, 0.0000, 0.5000), Cd at (0.5000, 0.5000, 0.5000) and Ag at (0.0000, 0.0000, 0.0000).


[6]
An optimized crystal structure of KRbCd2Ag, computed with PBE.

The density of states at the Fermi level is 0.4489 states/eV per atom. The total energy comes out at -1.317 eV/atom. For the energy relative to the elements, the calculation gives 0.16 eV per formula unit.

The space group is P4/mmm (No. 123) and the conventional cell measures 5.5679, 5.5679 and 6.1623 Å, with angles of 90.00, 90.00 and 90.00 degrees. The inequivalent atoms are K at (0.0000, 0.0000, 0.0000), Rb at (0.5000, 0.5000, 0.0000), Cd at (0.0000, 0.5000, 0.5000) and Ag at (0.0000, 0.0000, 0.5000).


[7]
An optimized crystal structure of KCdAgRu2, computed with PBE.

The density of states at the Fermi level is 2.2686 states/eV per atom. The total energy comes out at -3.176 eV/atom. For the energy relative to the elements, the calculation gives 7.53 eV per formula unit.

The space group is P4/mmm (No. 123) and the conventional cell measures 5.1212, 5.1212 and 5.2718 Å, with angles of 90.00, 90.00 and 90.00 degrees. The inequivalent atoms are K at (0.0000, 0.0000, 0.0000), Cd at (0.5000, 0.5000, 0.5000), Ag at (0.5000, 0.5000, 0.0000) and Ru at (0.0000, 0.5000, 0.5000).


[8]
An optimized crystal structure of KCdAgSb, computed with PBE.

The formation energy (no corrections) comes out at -34 kJ/mol of formula units. The density of states at the Fermi level is 0.2386 states/eV per atom. The total energy comes out at -2.335 eV/atom.

The space group is P4/nmm (No. 129, origin choice 2) and the conventional cell measures 4.3671, 4.3671 and 13.3035 Å, with angles of 90.00, 90.00 and 90.00 degrees. The inequivalent atoms are K at (0.2500, 0.2500, 0.2173), Cd at (0.2500, 0.7500, 0.5000), Ag at (0.2500, 0.7500, 0.0000) and Sb at (0.2500, 0.2500, 0.6466).


[9]
An optimized crystal structure of K2Cd3AgSb4, computed with PBE.

The formation energy (no corrections) comes out at -233 kJ/mol of formula units. The density of states at the Fermi level is 0.1811 states/eV per atom. The total energy comes out at -2.669 eV/atom.

The space group is P-4m2 (No. 115) and the conventional cell measures 4.9687, 4.9687 and 12.1593 Å, with angles of 90.00, 90.00 and 90.00 degrees. The inequivalent atoms are K at (0.0000, 0.5000, 0.2398), Cd at (0.0000, 0.0000, 0.0000), Cd at (0.0000, 0.5000, 0.6398), Ag at (0.5000, 0.5000, 0.0000), Sb at (0.0000, 0.0000, 0.5000), Sb at (0.0000, 0.5000, 0.8714) and Sb at (0.5000, 0.5000, 0.5000).


[10]
An optimized crystal structure of KCdAgSb2, computed with PBE.

The formation energy (no corrections) comes out at -101 kJ/mol of formula units. The density of states at the Fermi level is 0.2801 states/eV per atom. The total energy comes out at -2.831 eV/atom.

The space group is I-4m2 (No. 119) and the conventional cell measures 4.9332, 4.9332 and 12.1541 Å, with angles of 90.00, 90.00 and 90.00 degrees. The inequivalent atoms are K at (0.0000, 0.0000, 0.0000), Cd at (0.0000, 0.5000, 0.7500), Ag at (0.0000, 0.5000, 0.2500) and Sb at (0.0000, 0.0000, 0.3785).


[11]
An optimized crystal structure of K2CdAg3Sb4, computed with PBE.

The formation energy (no corrections) comes out at -205 kJ/mol of formula units. The density of states at the Fermi level is 0.3183 states/eV per atom. The total energy comes out at -3.027 eV/atom.

The space group is P-4m2 (No. 115) and the conventional cell measures 4.7185, 4.7185 and 12.4696 Å, with angles of 90.00, 90.00 and 90.00 degrees. The inequivalent atoms are K at (0.0000, 0.5000, 0.2466), Cd at (0.5000, 0.5000, 0.0000), Ag at (0.0000, 0.0000, 0.0000), Ag at (0.0000, 0.5000, 0.6407), Sb at (0.0000, 0.0000, 0.5000), Sb at (0.0000, 0.5000, 0.8630) and Sb at (0.5000, 0.5000, 0.5000).


[12]
An optimized crystal structure of K2CdAgSe, computed with PBE.

The formation energy (no corrections) comes out at -141 kJ/mol of formula units. The density of states at the Fermi level is 0.0960 states/eV per atom. The total energy comes out at -2.181 eV/atom.

The space group is P4/mmm (No. 123) and the conventional cell measures 6.3316, 6.3316 and 5.3575 Å, with angles of 90.00, 90.00 and 90.00 degrees. The inequivalent atoms are K at (0.0000, 0.5000, 0.0000), Cd at (0.0000, 0.0000, 0.5000), Ag at (0.5000, 0.5000, 0.5000) and Se at (0.0000, 0.0000, 0.0000).


[13]
An optimized crystal structure of KCdSiAg2, computed with PBE.

The formation energy (no corrections) comes out at 50 kJ/mol of formula units. The density of states at the Fermi level is 0.3021 states/eV per atom. The total energy comes out at -2.524 eV/atom.

The space group is P4/mmm (No. 123) and the conventional cell measures 4.9845, 4.9845 and 5.2433 Å, with angles of 90.00, 90.00 and 90.00 degrees. The inequivalent atoms are K at (0.0000, 0.0000, 0.0000), Cd at (0.5000, 0.5000, 0.0000), Si at (0.5000, 0.5000, 0.5000) and Ag at (0.0000, 0.5000, 0.5000).


[14]
An optimized crystal structure of KCd2Ag4Sn, computed with PBE.

The density of states at the Fermi level is 0.4363 states/eV per atom. The total energy comes out at -2.251 eV/atom. For the energy relative to the elements, the calculation gives 0.33 eV per formula unit.

The space group is R-3m (No. 166, hexagonal axes) and the conventional cell measures 4.7972, 4.7972 and 30.1960 Å, with angles of 90.00, 90.00 and 120.00 degrees. The inequivalent atoms are K at (0.0000, 0.0000, 0.0000), Cd at (0.0000, 0.0000, 0.2441), Ag at (0.0000, 0.0000, 0.1253), Ag at (0.0000, 0.0000, 0.4075) and Sn at (0.0000, 0.0000, 0.5000).


[15]
An optimized crystal structure of KCd2AgSn, computed with PBE.

The density of states at the Fermi level is 0.3432 states/eV per atom. The total energy comes out at -1.877 eV/atom. For the energy relative to the elements, the calculation gives 0.40 eV per formula unit.

The space group is P4/mmm (No. 123) and the conventional cell measures 5.4250, 5.4250 and 5.4035 Å, with angles of 90.00, 90.00 and 90.00 degrees. The inequivalent atoms are K at (0.0000, 0.0000, 0.0000), Cd at (0.0000, 0.5000, 0.5000), Ag at (0.5000, 0.5000, 0.5000) and Sn at (0.5000, 0.5000, 0.0000).


[16]
An optimized crystal structure of KCd2AgSn, computed with PBE.

The density of states at the Fermi level is 0.4549 states/eV per atom. The total energy comes out at -1.593 eV/atom. For the energy relative to the elements, the calculation gives 1.82 eV per formula unit.

The space group is P4/mmm (No. 123) and the conventional cell measures 5.5323, 5.5323 and 6.7490 Å, with angles of 90.00, 90.00 and 90.00 degrees. The inequivalent atoms are K at (0.0000, 0.0000, 0.0000), Cd at (0.0000, 0.5000, 0.5000), Ag at (0.5000, 0.5000, 0.0000) and Sn at (0.0000, 0.0000, 0.5000).


[17]
An optimized crystal structure of KCdAgSn, computed with PBE.

The density of states at the Fermi level is 0.6108 states/eV per atom. The total energy comes out at -2.189 eV/atom. For the energy relative to the elements, the calculation gives 0.11 eV per formula unit.

The space group is F-43m (No. 216) and the conventional cell measures 7.4655, 7.4655 and 7.4655 Å, with angles of 90.00, 90.00 and 90.00 degrees. The inequivalent atoms are K at (0.0000, 0.0000, 0.0000), Cd at (0.2500, 0.2500, 0.7500), Ag at (0.2500, 0.2500, 0.2500) and Sn at (0.0000, 0.0000, 0.5000).


[18]
An optimized crystal structure of K2CdAg3Sn4, computed with PBE.

The density of states at the Fermi level is 0.4839 states/eV per atom. The total energy comes out at -2.868 eV/atom. For the energy relative to the elements, the calculation gives -1.01 eV per formula unit.

The space group is P-4m2 (No. 115) and the conventional cell measures 4.7807, 4.7807 and 12.1328 Å, with angles of 90.00, 90.00 and 90.00 degrees. The inequivalent atoms are K at (0.0000, 0.5000, 0.2491), Cd at (0.5000, 0.5000, 0.0000), Ag at (0.0000, 0.0000, 0.0000), Ag at (0.0000, 0.5000, 0.6354), Sn at (0.0000, 0.0000, 0.5000), Sn at (0.0000, 0.5000, 0.8653) and Sn at (0.5000, 0.5000, 0.5000).


[19]
An optimized crystal structure of K2Cd3AgSn4, computed with PBE.

The density of states at the Fermi level is 0.4318 states/eV per atom. The total energy comes out at -2.505 eV/atom. For the energy relative to the elements, the calculation gives -1.24 eV per formula unit.

The space group is P-4m2 (No. 115) and the conventional cell measures 4.8905, 4.8905 and 12.2802 Å, with angles of 90.00, 90.00 and 90.00 degrees. The inequivalent atoms are K at (0.0000, 0.5000, 0.2411), Cd at (0.0000, 0.0000, 0.0000), Cd at (0.0000, 0.5000, 0.6433), Ag at (0.5000, 0.5000, 0.0000), Sn at (0.0000, 0.0000, 0.5000), Sn at (0.0000, 0.5000, 0.8746) and Sn at (0.5000, 0.5000, 0.5000).


[20]
An optimized crystal structure of KSrCdAg, computed with PBE.

The density of states at the Fermi level is 0.7542 states/eV per atom. The total energy comes out at -1.693 eV/atom. For the energy relative to the elements, the calculation gives -0.23 eV per formula unit.

The space group is F-43m (No. 216) and the conventional cell measures 8.1449, 8.1449 and 8.1449 Å, with angles of 90.00, 90.00 and 90.00 degrees. The inequivalent atoms are K at (0.0000, 0.0000, 0.0000), Sr at (0.0000, 0.0000, 0.5000), Cd at (0.2500, 0.2500, 0.2500) and Ag at (0.2500, 0.2500, 0.7500).